VASP calculation (PBE-GGA) on a relaxed MgAgTeH2 crystal.

total magnetic moment: 0.00 μB/cell
VASP energy: -2.75 eV/atom

abc: 3.9163 3.9163 5.8512
angles: 90.00 90.00 90.00
Last column: nearest neighbours and their distance in Å.
Space group P4/mmm (No. 123)
One atom of each set of equivalent atoms:
Mg  0.0000  0.0000  0.0000  4 Te 2.77
Ag  0.5000  0.5000  0.5000  4 H 1.96
Te  0.5000  0.5000  0.0000  4 Mg 2.77, 2 Ag 2.93
H  0.0000  0.5000  0.5000  2 Ag 1.96

---

VASP calculation (PBE-GGA) on a relaxed Mg2TlAgH crystal.

total magnetic moment: 0.00 μB/cell
VASP energy: -2.32 eV/atom

abc: 4.7677 4.7677 3.8631
angles: 90.00 90.00 90.00
Last column: nearest neighbours and their distance in Å.
Space group P4/mmm (No. 123)
One atom of each set of equivalent atoms:
Mg  0.0000  0.5000  0.0000  2 H 2.38
Tl  0.0000  0.0000  0.5000  8 Mg 3.07, 4 Ag 3.37
Ag  0.5000  0.5000  0.5000  2 H 1.93
H  0.5000  0.5000  0.0000  2 Ag 1.93

---

The following Fermi-level density of states values (in states/eV per atom) correspond, in order, to the records above: 0.191 0.151.
The following V values (in Å³ per atom) correspond, in order, to the records above: 17.948 17.562.